VASP calculation (GGA-PBE) on a relaxed PtBr5N2 crystal.

Calculated values
The value obtained for the formation energy from raw total energies is 1284 meV/atom. As for the density of states at the Fermi level: 0.595 states/eV/atom. As for the volume: 207.5 Å³ per cell.

abc: 5.6758 6.6802 6.6800
angles: 79.58 64.84 64.84
Last column: nearest neighbours and their distance in Å.
Element x y z (fractional)
Br: 0.7605 0.4098 0.9999  1 Pt 2.48
Br: 0.7605 0.9999 0.4097  1 Pt 2.48
Br: 0.1705 0.5903 0.0001  1 Pt 2.48
Br: 0.4656 0.0000 0.0000  2 Pt 2.84
Br: 0.1705 0.0001 0.5902  1 Pt 2.48
Pt: 0.9656 0.0000 0.0000  4 Br 2.48
N: 0.7149 0.4999 0.5001  2 N 2.84
N: 0.2149 0.5000 0.5000  2 N 2.84


VASP calculation (GGA-PBE) on a relaxed PtBr2N2 crystal.

Calculated values
The value obtained for the formation energy from raw total energies is 47 meV/atom. As for the density of states at the Fermi level: 0.058 states/eV/atom. As for the volume: 142.7 Å³ per cell.

abc: 3.9459 3.9498 10.6040
angles: 86.16 90.00 119.97
Last column: nearest neighbours and their distance in Å.
Element x y z (fractional)
N: 0.0472 0.0945 0.5405  1 N 1.11
N: 0.9528 0.9055 0.4595  1 N 1.11
Pt: 0.0000 0.0000 0.0000  6 Br 2.68
Br: 0.3491 0.6982 0.8662  3 Pt 2.68
Br: 0.6509 0.3018 0.1338  3 Pt 2.68


VASP calculation (GGA-PBE) on a relaxed Rb2PtBr6N crystal.

Calculated values
The value obtained for the formation energy from raw total energies is -421 meV/atom. As for the density of states at the Fermi level: 0.137 states/eV/atom. As for the volume: 320.8 Å³ per cell.

abc: 8.1243 8.1243 7.5246
angles: 57.33 57.33 90.00
Last column: nearest neighbours and their distance in Å.
Element x y z (fractional)
Br: 0.2169 0.2169 0.0000  1 Pt 2.49
Br: 0.7831 0.2169 0.0000  1 Pt 2.49
Br: 0.2790 0.2790 0.4420  1 N 2.15
Br: 0.2169 0.7831 0.0000  1 Pt 2.49
Br: 0.7210 0.7210 0.5580  1 N 2.15
Br: 0.7831 0.7831 0.0000  1 Pt 2.49
N: 0.5000 0.5000 0.0000  2 Br 2.15
Rb: 0.2500 0.7500 0.5000  12 Br 3.78-4.07
Rb: 0.7500 0.2500 0.5000  12 Br 3.78-4.07
Pt: 0.0000 0.0000 0.0000  6 Br 2.49-2.71


VASP calculation (GGA-PBE) on a relaxed RePt2BrN crystal.

Calculated values
The value obtained for the formation energy from raw total energies is 2962 meV/atom. As for the density of states at the Fermi level: 2.583 states/eV/atom. As for the volume: 101.1 Å³ per cell.

abc: 4.6895 4.5953 4.6895
angles: 90.00 90.00 90.00
Last column: nearest neighbours and their distance in Å.
Element x y z (fractional)
N: 0.5000 0.5000 0.5000  8 Pt 3.28, 4 Re 3.32
Re: 0.0000 0.5000 0.0000  2 Br 2.30
Pt: 0.5000 0.0000 0.0000  2 Br 2.34
Pt: 0.0000 0.0000 0.5000  2 Br 2.34
Br: 0.0000 0.0000 0.0000  2 Re 2.30, 4 Pt 2.34


VASP calculation (GGA-PBE) on a relaxed RuPtBr2N crystal.

Calculated values
The value obtained for the formation energy from raw total energies is 1072 meV/atom. As for the density of states at the Fermi level: 0.887 states/eV/atom. As for the volume: 109.2 Å³ per cell.

abc: 5.4578 3.6671 5.4578
angles: 90.00 90.00 90.00
Last column: nearest neighbours and their distance in Å.
Element x y z (fractional)
Br: 0.5000 0.0000 0.0000  2 Pt 2.73
Br: 0.0000 0.0000 0.5000  2 Pt 2.73
Ru: 0.5000 0.5000 0.5000  8 Br 3.29, 2 Ru 3.67
Pt: 0.0000 0.0000 0.0000  2 N 1.83
N: 0.0000 0.5000 0.0000  2 Pt 1.83


VASP calculation (GGA-PBE) on a relaxed PtSBrN2 crystal.

Calculated values
The value obtained for the formation energy from raw total energies is 2227 meV/atom. As for the density of states at the Fermi level: 0.928 states/eV/atom. As for the volume: 99.4 Å³ per cell.

abc: 3.6280 3.6280 7.5554
angles: 90.00 90.00 90.00
Last column: nearest neighbours and their distance in Å.
Element x y z (fractional)
Br: 0.0000 0.0000 0.0000  4 N 1.81
S: 0.0000 0.0000 0.5000  4 Pt 2.57
Pt: 0.5000 0.5000 0.5000  4 S 2.57
N: 0.5000 0.0000 0.0000  2 Br 1.81
N: 0.0000 0.5000 0.0000  2 Br 1.81


VASP calculation (GGA-PBE) on a relaxed PtSBrN2 crystal.

Calculated values
The value obtained for the formation energy from raw total energies is 1243 meV/atom. As for the density of states at the Fermi level: 1.029 states/eV/atom. As for the volume: 116.6 Å³ per cell.

abc: 3.7425 3.7425 8.3221
angles: 90.00 90.00 90.00
Last column: nearest neighbours and their distance in Å.
Element x y z (fractional)
N: 0.0000 0.5000 0.0000  2 Pt 1.87
N: 0.5000 0.0000 0.0000  2 Pt 1.87
S: 0.0000 0.0000 0.5000  4 Br 2.65
Pt: 0.0000 0.0000 0.0000  4 N 1.87
Br: 0.5000 0.5000 0.5000  4 S 2.65


VASP calculation (GGA-PBE) on a relaxed ScPtBr2N crystal.

Calculated values
The value obtained for the formation energy from raw total energies is 292 meV/atom. As for the density of states at the Fermi level: 1.020 states/eV/atom. As for the volume: 111.6 Å³ per cell.

abc: 5.5081 3.6783 5.5081
angles: 90.00 90.00 90.00
Last column: nearest neighbours and their distance in Å.
Element x y z (fractional)
Pt: 0.0000 0.5000 0.0000  2 N 1.84
Br: 0.5000 0.0000 0.0000  2 N 2.75
Br: 0.0000 0.0000 0.5000  2 N 2.75
N: 0.0000 0.0000 0.0000  2 Pt 1.84
Sc: 0.5000 0.5000 0.5000  8 Br 3.31, 2 Sc 3.68


VASP calculation (GGA-PBE) on a relaxed PtSeBr2N crystal.

Calculated values
The value obtained for the formation energy from raw total energies is 1583 meV/atom. As for the density of states at the Fermi level: 1.995 states/eV/atom. As for the volume: 128.0 Å³ per cell.

abc: 5.1557 5.1557 4.8146
angles: 90.00 90.00 90.00
Last column: nearest neighbours and their distance in Å.
Element x y z (fractional)
Br: 0.5000 0.0000 0.0000  2 Pt 2.58
Br: 0.0000 0.5000 0.0000  2 Pt 2.58
Pt: 0.0000 0.0000 0.0000  2 Se 2.41, 4 Br 2.58
Se: 0.0000 0.0000 0.5000  2 Pt 2.41
N: 0.5000 0.5000 0.5000  8 Br 3.53, 4 Se 3.65


VASP calculation (GGA-PBE) on a relaxed PtSeBr2N crystal.

Calculated values
The value obtained for the formation energy from raw total energies is 1390 meV/atom. As for the density of states at the Fermi level: 1.111 states/eV/atom. As for the volume: 93.5 Å³ per cell.

abc: 4.4215 4.4215 4.7817
angles: 90.00 90.00 90.00
Last column: nearest neighbours and their distance in Å.
Element x y z (fractional)
N: 0.0000 0.0000 0.0000  4 Br 2.21, 2 Se 2.39
Br: 0.0000 0.5000 0.0000  2 N 2.21
Br: 0.5000 0.0000 0.0000  2 N 2.21
Pt: 0.5000 0.5000 0.5000  4 Se 3.13, 8 Br 3.26
Se: 0.0000 0.0000 0.5000  2 N 2.39


VASP calculation (GGA-PBE) on a relaxed SiPt2BrN crystal.

Calculated values
The value obtained for the formation energy from raw total energies is 1392 meV/atom. As for the density of states at the Fermi level: 0.635 states/eV/atom. As for the volume: 111.5 Å³ per cell.

abc: 4.5587 5.3652 4.5587
angles: 90.00 90.00 90.00
Last column: nearest neighbours and their distance in Å.
Element x y z (fractional)
N: 0.5000 0.5000 0.5000  4 Br 3.22, 8 Pt 3.52
Si: 0.0000 0.0000 0.0000  4 Pt 2.28
Pt: 0.5000 0.0000 0.0000  2 Si 2.28
Pt: 0.0000 0.0000 0.5000  2 Si 2.28
Br: 0.0000 0.5000 0.0000  2 Si 2.68


VASP calculation (GGA-PBE) on a relaxed Sr6Pt2Br3N crystal.

Calculated values
The value obtained for the formation energy from raw total energies is -1220 meV/atom. As for the density of states at the Fermi level: 0.428 states/eV/atom. As for the volume: 364.9 Å³ per cell.

abc: 7.4356 7.4356 8.0162
angles: 98.89 98.89 120.03
Last column: nearest neighbours and their distance in Å.
Element x y z (fractional)
Br: 0.8356 0.1644 0.5000  6 Sr 3.29-3.60
Br: 0.5000 0.5000 0.5000  6 Sr 3.30-3.58
Br: 0.1644 0.8356 0.5000  6 Sr 3.29-3.60
Pt: 0.6671 0.3329 0.0000  6 Sr 3.01
Pt: 0.3329 0.6671 0.0000  6 Sr 3.01
Sr: 0.6356 0.9343 0.8034  1 N 2.68
Sr: 0.9343 0.6356 0.8034  1 N 2.68
Sr: 0.3644 0.0657 0.1966  1 N 2.68
Sr: 0.0657 0.3644 0.1966  1 N 2.68
Sr: 0.2341 0.2341 0.8038  1 N 2.68
Sr: 0.7659 0.7659 0.1962  1 N 2.68
N: 0.0000 0.0000 0.0000  6 Sr 2.68